Material: LuAgW2O8
Method: DFT, PBE+U
State: optimized geometry

```
LuAgW2O8
1.0
4.958 -5.390 0.000
4.958 5.390 0.000
-4.346 0.000 5.790
Lu Ag W O
2 2 4 16
direct
0.200 0.800 0.000 Lu
0.800 0.200 0.000 Lu
0.178 0.178 0.520 Ag
0.822 0.822 0.480 Ag
0.288 0.288 0.028 W
0.336 0.664 0.500 W
0.664 0.336 0.500 W
0.712 0.712 0.972 W
0.052 0.052 0.861 O
0.142 0.395 0.239 O
0.188 0.719 0.655 O
0.200 0.462 0.912 O
0.281 0.812 0.345 O
0.395 0.142 0.239 O
0.462 0.200 0.912 O
0.477 0.477 0.659 O
0.523 0.523 0.341 O
0.538 0.800 0.088 O
0.605 0.858 0.761 O
0.719 0.188 0.655 O
0.800 0.538 0.088 O
0.812 0.281 0.345 O
0.858 0.605 0.761 O
0.948 0.948 0.139 O
```

Results
* symmetry: C2/m (12)
* electronic total energy: -7.250 eV/atom